## Nd2Mg3Cu4 (PBE-GGA)

Data for a relaxed Nd2Mg3Cu4 crystal.

Calculated values
Its electronic total energy is -63.18 eV for the cell shown. The space group is No. 64. The crystal system is orthorhombic.

Cell: 5.9526 7.1862 9.0022 Å, 90.00 109.31 90.00°
Last column: nearest neighbours and their distance in Å.
Sites, in units of the cell vectors:
1 Nd 0.1009 0.5927 0.2017  5 Cu 2.91-3.19
2 Nd 0.6009 0.9073 0.2017  5 Cu 2.91-3.19
3 Nd 0.3991 0.0927 0.7983  5 Cu 2.91-3.19
4 Nd 0.8991 0.4073 0.7983  5 Cu 2.91-3.19
5 Mg 0.0142 0.7500 0.5284  5 Cu 2.72-2.92, 2 Mg 2.98
6 Mg 0.5000 0.5000 0.0000  6 Cu 2.65-2.68
7 Mg 0.0000 0.0000 0.0000  6 Cu 2.65-2.68
8 Mg 0.9858 0.2500 0.4716  5 Cu 2.72-2.92, 2 Mg 2.98
9 Mg 0.5142 0.7500 0.5284  5 Cu 2.72-2.92, 2 Mg 2.98
10 Mg 0.4858 0.2500 0.4716  5 Cu 2.72-2.92, 2 Mg 2.98
11 Cu 0.3240 0.2500 0.1480  3 Mg 2.65-2.75, 2 Cu 2.76, 2 Nd 2.91
12 Cu 0.1760 0.7500 0.8520  3 Mg 2.65-2.75, 2 Cu 2.76, 2 Nd 2.91
13 Cu 0.3422 0.4934 0.6845  5 Mg 2.68-2.92, 2 Cu 2.76
14 Cu 0.1578 0.9934 0.3155  5 Mg 2.68-2.92, 2 Cu 2.76
15 Cu 0.8422 0.0066 0.6845  5 Mg 2.68-2.92, 2 Cu 2.76
16 Cu 0.6578 0.5066 0.3155  5 Mg 2.68-2.92, 2 Cu 2.76
17 Cu 0.6760 0.7500 0.8520  3 Mg 2.65-2.75, 2 Cu 2.76, 2 Nd 2.91
18 Cu 0.8240 0.2500 0.1480  3 Mg 2.65-2.75, 2 Cu 2.76, 2 Nd 2.91